# NaCa12Zn6 PBE relaxed
# Mass density = 2.43 g/cm³
# Calculated total energy = -1.86 eV/atom
data_NaCa12Zn6
_space_group_name_H-M_alt 'I m -3'
_space_group_IT_number 204
_space_group_name_Hall '-I 2 2 3'
_cell_length_a 10.703
_cell_length_b 10.703
_cell_length_c 10.703
_cell_angle_alpha 90.00
_cell_angle_beta 90.00
_cell_angle_gamma 90.00
loop_
_atom_site_label
_atom_site_type_symbol
_atom_site_fract_x
_atom_site_fract_y
_atom_site_fract_z
Na1 Na 0.000 0.000 0.000
Ca1 Ca 0.000 0.189 0.299
Zn1 Zn 0.000 0.382 0.500